No. 1
The following is a PBEsol calculation of a relaxed structure of Y2Cu2Sb, from the Alexandria database.

Cell and atoms, written as POSCAR:
```
Y2Cu2Sb
1.0
-1.2092 -0.0854 -3.8352
6.7498 -0.7419 -2.1116
-0.6626 -7.0707 0.3663
Y Cu Sb
4 4 2
Cartesian
1.4967 -1.5011 -2.5476
4.7679 -2.9776 -3.5461
3.3813 -6.3969 -3.0328
0.1100 -4.9205 -2.0343
1.9769 -6.4979 -0.4786
0.5641 -2.7708 -0.1162
5.5230 -5.0418 -1.6291
4.1102 -1.3147 -1.2666
3.0436 -3.9063 -0.8726
0.0000 0.0000 0.0000
```

Summary:
The formation energy (no corrections) comes out at -556 meV/atom.

No. 2
The following is a PBEsol calculation of a relaxed structure of YCu3Sb, from the Alexandria database.

Cell and atoms, written as POSCAR:
```
YCu3Sb
1.0
4.8738 0.0000 0.0000
0.0000 4.8738 0.0000
0.0000 0.0000 4.8738
Sb Y Cu
1 1 3
Cartesian
2.4369 2.4369 2.4369
0.0000 0.0000 0.0000
0.0000 0.0000 2.4369
2.4369 0.0000 0.0000
0.0000 2.4369 0.0000
```

Summary:
The formation energy (no corrections) comes out at 1206 meV/atom.

No. 3
The following is a PBEsol calculation of a relaxed structure of Zn2Cu2Sb, from the Alexandria database.

Cell and atoms, written as POSCAR:
```
Zn2Cu2Sb
1.0
-1.2054 -2.5667 -2.2226
0.9217 -2.5173 2.4072
-5.2850 2.9352 2.3968
Sb Cu Zn
1 2 2
Cartesian
0.0000 0.0000 0.0000
-4.3230 0.3132 1.9828
-1.2457 -2.4620 0.5986
-3.3161 -1.0868 0.1332
-2.2526 -1.0620 2.4482
```

Summary:
The formation energy (no corrections) comes out at 76 meV/atom.

No. 4
The following is a PBEsol calculation of a relaxed structure of ZnCuSb2, from the Alexandria database.

Cell and atoms, written as POSCAR:
```
ZnCuSb2
1.0
3.2054 0.0000 0.0000
0.0000 3.2054 0.0000
0.0000 0.0000 7.7231
Sb Zn Cu
2 1 1
Cartesian
0.0000 0.0000 5.6304
0.0000 0.0000 2.0926
1.6027 1.6027 0.0000
1.6027 1.6027 3.8615
```

Summary:
The formation energy (no corrections) comes out at 249 meV/atom.